Compound: Li2LaTaNi
Source: Alexandria via LeMat-Bulk
Functional: PBE-GGA
Structure: relaxed Values from VASP.

```
&SYSTEM
  ibrav = 0, nat = 5, ntyp = 4
/
ATOMIC_SPECIES
Ni 58.69 Ni.upf
Ta 180.95 Ta.upf
Li 6.94 Li.upf
La 138.91 La.upf
ATOMIC_POSITIONS angstrom
Ni 0.000 2.290 0.000
Ta 2.342 2.290 2.342
Li 0.000 0.000 2.342
Li 2.342 0.000 0.000
La 0.000 0.000 0.000
CELL_PARAMETERS angstrom
4.683 0.000 0.000
0.000 4.580 0.000
0.000 0.000 4.683
```

Output
Density = 6.49 g/cm³
Total moment = 0.34 μB per atom
ΔH_f (0 K) = 1.437 eV per atom
E_tot = -3.841 eV per atom